(1)
This record from Alexandria describes an optimized crystal structure of MgZrGaRh. The functional is PBE-GGA.

Values from the calculation:
**Symmetry**: F-43m, No. 216
**E_form**: -2.3 eV per formula unit
**Total energy**: -5.70 eV per atom

a = 4.615 Å, b = 4.615 Å, c = 4.615 Å
α = 60.00°, β = 60.00°, γ = 60.00°
Atoms (fractional coordinates):
Mg1 0.000 0.000 0.000
Zr1 0.500 0.500 0.500
Ga1 0.750 0.750 0.750
Rh1 0.250 0.250 0.250

(2)
This record from Alexandria describes an optimized crystal structure of Rb2VTePt. The functional is PBE-GGA.

Values from the calculation:
**Symmetry**: P4/mmm, No. 123
**ΔE_f (raw)**: 563.7 meV per atom
**Distance to the lowest polymorph of the same formula**: 0.0 kJ per mole of atoms
**Total energy**: -3.48 eV per atom

a = 6.862 Å, b = 6.862 Å, c = 5.127 Å
α = 90.00°, β = 90.00°, γ = 90.00°
Atoms (fractional coordinates):
Rb1 0.000 0.500 0.000
Rb2 0.500 0.000 0.000
V1 0.000 0.000 0.500
Te1 0.000 0.000 0.000
Pt1 0.500 0.500 0.500

(3)
This record from Alexandria describes an optimized crystal structure of MgCdAg5. The functional is PBE-GGA.

Values from the calculation:
**Symmetry**: Cmcm, No. 63
**E_form**: -0.2 eV per formula unit
**Total energy**: -2.42 eV per atom

a = 5.069 Å, b = 5.069 Å, c = 11.327 Å
α = 90.00°, β = 90.00°, γ = 69.91°
Atoms (fractional coordinates):
Mg1 0.000 0.000 0.000
Mg2 0.000 0.000 0.500
Cd1 0.369 0.631 0.750
Cd2 0.631 0.369 0.250
Ag1 0.102 0.898 0.250
Ag2 0.141 0.419 0.112
Ag3 0.141 0.419 0.388
Ag4 0.419 0.141 0.612
Ag5 0.419 0.141 0.888
Ag6 0.581 0.859 0.112
Ag7 0.581 0.859 0.388
Ag8 0.859 0.581 0.612
Ag9 0.859 0.581 0.888
Ag10 0.898 0.102 0.750

(4)
This record from Alexandria describes an optimized crystal structure of Ce2Dy3ErTm6. The functional is PBE-GGA.

Values from the calculation:
**Symmetry**: C2/m, No. 12
**E_form**: 0.5 eV per formula unit
**Total energy**: -4.71 eV per atom

a = 6.070 Å, b = 6.070 Å, c = 11.587 Å
α = 95.01°, β = 95.01°, γ = 119.97°
Atoms (fractional coordinates):
Ce1 0.166 0.834 0.000
Ce2 0.834 0.166 0.000
Dy1 0.000 0.000 0.500
Dy2 0.334 0.666 0.500
Dy3 0.666 0.334 0.500
Er1 0.500 0.500 0.000
Tm1 0.082 0.417 0.751
Tm2 0.248 0.248 0.249
Tm3 0.417 0.082 0.751
Tm4 0.583 0.918 0.249
Tm5 0.752 0.752 0.751
Tm6 0.918 0.583 0.249